ZrCu3N: optimized geometry, PBE-GGA.

Cell: 4.054 4.054 4.054 Å, 90.00 90.00 90.00°
Positions (direct):
Cu: 0.000 0.000 0.500
Cu: 0.500 0.000 0.000
Zr: 0.500 0.500 0.500
Cu: 0.000 0.500 0.000
N: 0.000 0.000 0.000

**Space-group type**: Pm-3m (221)
**ΔE_f (raw)**: 2.14 eV per formula unit
**Excess energy over the best structure of this formula in the dataset**: 0.0000 eV per atom



ZrCuN2: optimized geometry, PBE-GGA.

Cell: 3.886 3.886 3.886 Å, 60.00 60.00 60.00°
Positions (direct):
Zr: 0.500 0.500 0.500
Cu: 0.000 0.000 0.000
N: 0.250 0.250 0.250
N: 0.750 0.750 0.750

**Space-group type**: Fm-3m (225)
**ΔE_f (raw)**: -0.02 eV per formula unit
**Excess energy over the best structure of this formula in the dataset**: 0.4748 eV per atom



NaCu: optimized geometry, PBE-GGA.

Cell: 8.067 8.067 8.067 Å, 90.00 90.00 90.00°
Positions (direct):
Na: 0.000 0.500 0.250
Cu: 0.750 0.500 0.000
Na: 0.750 0.000 0.500
Cu: 0.500 0.000 0.250
Na: 0.250 0.000 0.500
Cu: 0.000 0.750 0.500
Cu: 0.250 0.500 0.000
Na: 0.500 0.250 0.000
Cu: 0.500 0.000 0.750
Na: 0.000 0.500 0.750
Cu: 0.000 0.250 0.500
Na: 0.500 0.750 0.000

**Space-group type**: Pm-3n (223)
**Calculated formation energy**: 0.776 eV/atom



NaCu: optimized geometry, PBE-GGA.

Cell: 10.026 10.026 4.090 Å, 90.00 90.00 90.00°
Positions (direct):
Cu: 0.207 0.793 0.000
Na: 0.000 0.735 0.500
Na: 0.765 0.500 0.000
Cu: 0.293 0.707 0.500
Na: 0.500 0.765 0.000
Cu: 0.207 0.207 0.000
Cu: 0.707 0.293 0.500
Na: 0.000 0.265 0.500
Na: 0.735 0.000 0.500
Na: 0.265 0.000 0.500
Na: 0.235 0.500 0.000
Cu: 0.793 0.207 0.000
Cu: 0.707 0.707 0.500
Cu: 0.293 0.293 0.500
Na: 0.500 0.235 0.000
Cu: 0.793 0.793 0.000

**Space-group type**: I4/mmm (139)
**Calculated formation energy**: 0.349 eV/atom